Tl2RhW3O12 | Alexandria via LeMat-Bulk | GGA+U | optimized geometry; SG = R-3m, No. 166; DFT total energy = -6.755 eV per atom; magnetic moment = 1.06 μB/f.u.
1.0
7.316 -0.020 -0.014
3.595 6.371 -0.014
3.595 2.093 6.018
O W Rh Tl
12 3 1 2
Direct
0.689 0.689 0.058
0.942 0.311 0.311
0.058 0.689 0.689
0.934 0.321 0.934
0.311 0.311 0.942
0.066 0.679 0.066
0.311 0.942 0.311
0.321 0.934 0.934
0.934 0.934 0.321
0.066 0.066 0.679
0.689 0.058 0.689
0.679 0.066 0.066
0.500 0.000 0.000
0.000 0.500 0.000
0.000 0.000 0.500
0.000 0.000 0.000
0.352 0.352 0.352
0.648 0.648 0.648